The following is a DFT calculation (PBE) of crystalline SrAlPt2 at its relaxed geometry.

Cell and atoms, written as CIF:
```
data_SrAlPt2
_chemical_formula_sum 'Sr1 Al1 Pt2'
_cell_length_a 3.0768
_cell_length_b 4.1027
_cell_length_c 6.8450
_cell_angle_alpha 90.00
_cell_angle_beta 90.00
_cell_angle_gamma 90.00
_space_group_name_H-M_alt 'P m m 2'
_space_group_IT_number 25
loop_
_space_group_symop_operation_xyz
'x,y,z'
'-x,-y,z'
'-x,y,z'
'x,-y,z'
loop_
_atom_site_label
_atom_site_type_symbol
_atom_site_fract_x
_atom_site_fract_y
_atom_site_fract_z
Sr1 Sr 0.0000 0.0000 0.0000
Al1 Al 0.0000 0.5000 0.5363
Pt1 Pt 0.5000 0.0000 0.5970
Pt2 Pt 0.5000 0.5000 0.2458
```

Calculated formation energy: -2.7 eV per formula unit
Total magnetization: 0.00 μB/atom
Raw total energy: -20.163 eV per cell